No. 1
VASP calculation (PBE) on a relaxed RbSi3Pd crystal.

As for the energy above the most stable polymorph in this dataset: 0.0000 eV per atom. The final energy comes out at -0.2883 Ry per atom.

The space group is Pm-3m (No. 221) and the conventional cell measures 4.9276, 4.9276 and 4.9276 Å, with angles of 90.00, 90.00 and 90.00 degrees. The inequivalent atoms are Rb at (0.0000, 0.0000, 0.0000), Si at (0.0000, 0.5000, 0.5000) and Pd at (0.5000, 0.5000, 0.5000).


No. 2
VASP calculation (PBE) on a relaxed Rb2Si2Pd crystal.

As for the energy above the most stable polymorph in this dataset: 0.2649 eV per atom. The final energy comes out at -0.2408 Ry per atom.

The space group is I4/mmm (No. 139) and the conventional cell measures 3.5218, 3.5218 and 22.1947 Å, with angles of 90.00, 90.00 and 90.00 degrees. The inequivalent atoms are Rb at (0.0000, 0.0000, 0.1039), Si at (0.0000, 0.5000, 0.2500) and Pd at (0.0000, 0.0000, 0.5000).


No. 3
VASP calculation (PBE) on a relaxed RbSi2Pd crystal.

As for the energy above the most stable polymorph in this dataset: 0.0347 eV per atom. The final energy comes out at -0.3098 Ry per atom.

The space group is I4_1/amd (No. 141, origin choice 2) and the conventional cell measures 5.2201, 5.2201 and 15.9672 Å, with angles of 90.00, 90.00 and 90.00 degrees. The inequivalent atoms are Rb at (0.0000, 0.2500, 0.3750), Si at (0.0000, 0.0000, 0.0000) and Pd at (0.0000, 0.2500, 0.8750).


Respective E_form (uncorrected) values: 0.5640 0.3191 0.0369 eV per atom.